# 1
A relaxed structure of Ho3Al. Source: OQMD, functional GGA-PBE.

Lattice parameters (Å, degrees): 5.315 5.315 5.315 60.00 60.00 60.00
Site moments in Bohr magnetons follow the coordinates.
Element x y z (fractional)
1 Ho 0.250 0.250 0.250  0.17
2 Ho 0.000 0.000 0.000  0.14
3 Ho 0.500 0.500 0.500  0.14
4 Al 0.750 0.750 0.750  0.00

Calculated values
The calculation puts the total moment at 0.5 μB per formula unit. Its final energy is -17.67 eV/cell.



# 2
A relaxed structure of HoAlIn2. Source: OQMD, functional GGA-PBE.

Lattice parameters (Å, degrees): 4.981 6.493 6.493 60.43 90.00 90.00
Element x y z (fractional)
1 Al 0.000 0.696 0.148
2 Al 0.000 0.148 0.696
3 In 0.500 0.840 0.840
4 In 0.000 0.160 0.160
5 In 0.500 0.319 0.835
6 In 0.500 0.835 0.319
7 Ho 0.000 0.665 0.665
8 Ho 0.500 0.337 0.337

Calculated values
The calculation puts the total moment at 0.0 μB per formula unit. Its final energy is -30.03 eV/cell.



# 3
A relaxed structure of Ho2Al5In. Source: OQMD, functional GGA-PBE.

Lattice parameters (Å, degrees): 4.701 6.285 6.285 60.83 90.00 90.00
Element x y z (fractional)
1 Ho 0.500 0.341 0.341
2 Ho 0.000 0.662 0.662
3 Al 0.000 0.703 0.142
4 Al 0.000 0.142 0.703
5 Al 0.500 0.851 0.851
6 Al 0.500 0.848 0.294
7 Al 0.500 0.294 0.848
8 In 0.000 0.159 0.159

Calculated values
The calculation puts the total moment at 0.0 μB per formula unit. Its final energy is -33.60 eV/cell.



# 4
A relaxed structure of HoAlIn. Source: OQMD, functional GGA-PBE.

Lattice parameters (Å, degrees): 4.934 4.934 4.934 60.00 60.00 60.00
Element x y z (fractional)
1 Ho 0.000 0.000 0.000
2 Al 0.750 0.750 0.750
3 In 0.250 0.250 0.250

Calculated values
The calculation puts the total moment at 0.0 μB per formula unit. Its final energy is -10.70 eV/cell.



Number 3 is which compound? Ho2Al5In



Which formula does entry 4 have? HoAlIn



total moment of number 4 (HoAlIn)? 0.0 μB per formula unit



Which of these has the lowest final energy? Ho2Al5In